## ScW2AuO (PBE with a Hubbard U)

Data for ScW2AuO after structural relaxation.

Cell lengths 5.2624, 5.2624, 5.1139 Å; angles 90.00, 90.00, 90.00 degrees
Space group P4/mmm (No. 123)
Inequivalent atoms, fractional coordinates:
Sc (0.0000, 0.0000, 0.0000) (multiplicity 1)
W (0.0000, 0.5000, 0.5000) (multiplicity 2)
Au (0.0000, 0.0000, 0.5000) (multiplicity 1)
O (0.5000, 0.5000, 0.0000) (multiplicity 1)

## Properties
magnetization = 7.949 Bohr magnetons per cell
raw total energy = -4.23 eV per atom